(1)
First-principles (PBE) data for KSnBiMo2 after structural relaxation, as listed in Alexandria.

The space group is P4/mmm (No. 123) and the conventional cell measures 5.3874, 5.3874 and 5.8060 Å, with angles of 90.00, 90.00 and 90.00 degrees. The inequivalent atoms are K at (0.0000, 0.0000, 0.0000), Sn at (0.5000, 0.5000, 0.5000), Bi at (0.0000, 0.0000, 0.5000) and Mo at (0.0000, 0.5000, 0.0000).

The value obtained for the calculated density is 5.5 g/cm3. The volume comes out at 168.51 Å³/cell. For the formation energy, the calculation gives 2.526 eV per atom. For the raw total energy, the calculation gives -3.60 eV/atom. The calculation puts the size of the total moment at 8.6 μB/cell.

---

(2)
First-principles (PBE) data for KBiMo2W after structural relaxation, as listed in Alexandria.

The space group is P4/mmm (No. 123) and the conventional cell measures 4.5089, 4.5089 and 5.3967 Å, with angles of 90.00, 90.00 and 90.00 degrees. The inequivalent atoms are K at (0.0000, 0.0000, 0.0000), Bi at (0.0000, 0.0000, 0.5000), Mo at (0.0000, 0.5000, 0.0000) and W at (0.5000, 0.5000, 0.5000).

The value obtained for the calculated density is 9.4 g/cm3. The volume comes out at 109.72 Å³/cell. For the formation energy, the calculation gives 3.277 eV per atom. For the raw total energy, the calculation gives -4.64 eV/atom. The calculation puts the size of the total moment at 1.2 μB/cell.

---

(3)
First-principles (PBE) data for K2BiN2 after structural relaxation, as listed in Alexandria.

The space group is R-3m (No. 166, hexagonal axes) and the conventional cell measures 6.2733, 6.2733 and 14.5300 Å, with angles of 90.00, 90.00 and 120.00 degrees. The inequivalent atoms are K at (0.0000, 0.0000, 0.2430), Bi at (0.0000, 0.0000, 0.5000) and N at (0.0000, 0.0000, 0.0388).

The value obtained for the calculated density is 3.2 g/cm3. The volume comes out at 495.25 Å³/cell. The formation energy without anion corrections is -107 meV/atom. For the raw total energy, the calculation gives -4.65 eV/atom. The calculation puts the size of the total moment at 3.1 μB/cell.

---

(4)
First-principles (PBE) data for KBiN2 after structural relaxation, as listed in Alexandria.

The space group is R-3m (No. 166, hexagonal axes) and the conventional cell measures 4.4097, 4.4097 and 20.6177 Å, with angles of 90.00, 90.00 and 120.00 degrees. The inequivalent atoms are K at (0.0000, 0.0000, 0.0000), Bi at (0.0000, 0.0000, 0.5000) and N at (0.0000, 0.0000, 0.4042).

The value obtained for the calculated density is 4.0 g/cm3. The volume comes out at 347.21 Å³/cell. The formation energy without anion corrections is 1241 meV/atom. For the raw total energy, the calculation gives -4.17 eV/atom. The calculation puts the size of the total moment at 0.0 μB/cell.